# 1
# PmMg3 (meta-GGA SCAN, single point on PBEsol structure)
data_PmMg3
_chemical_formula_sum 'Pm2 Mg6'
_space_group_name_H-M_alt 'P 1'
_space_group_IT_number 1
_cell_length_a 6.7101
_cell_length_b 6.7101
_cell_length_c 5.1715
_cell_angle_alpha 90.00
_cell_angle_beta 90.00
_cell_angle_gamma 120.00
loop_
_space_group_symop_operation_xyz
'x,y,z'
loop_
_atom_site_label
_atom_site_type_symbol
_atom_site_fract_x
_atom_site_fract_y
_atom_site_fract_z
Pm1 Pm 0.3333 0.6667 0.2500
Pm2 Pm 0.6667 0.3333 0.7500
Mg1 Mg 0.1631 0.3262 0.7500
Mg2 Mg 0.1631 0.8369 0.7500
Mg3 Mg 0.3262 0.1631 0.2500
Mg4 Mg 0.6738 0.8369 0.7500
Mg5 Mg 0.8369 0.1631 0.2500
Mg6 Mg 0.8369 0.6738 0.2500
# VASP energy in eV/atom: -14.822

***

# 2
# PmPrMg2 (meta-GGA SCAN, single point on PBEsol structure)
data_PmPrMg2
_chemical_formula_sum 'Pm4 Pr4 Mg8'
_space_group_name_H-M_alt 'P 1'
_space_group_IT_number 1
_cell_length_a 7.6668
_cell_length_b 7.6668
_cell_length_c 7.6668
_cell_angle_alpha 90.00
_cell_angle_beta 90.00
_cell_angle_gamma 90.00
loop_
_space_group_symop_operation_xyz
'x,y,z'
loop_
_atom_site_label
_atom_site_type_symbol
_atom_site_fract_x
_atom_site_fract_y
_atom_site_fract_z
Pm1 Pm 0.0000 0.0000 0.0000
Pm2 Pm 0.0000 0.5000 0.5000
Pm3 Pm 0.5000 0.0000 0.5000
Pm4 Pm 0.5000 0.5000 0.0000
Pr1 Pr 0.0000 0.0000 0.5000
Pr2 Pr 0.0000 0.5000 0.0000
Pr3 Pr 0.5000 0.0000 0.0000
Pr4 Pr 0.5000 0.5000 0.5000
Mg1 Mg 0.2500 0.2500 0.2500
Mg2 Mg 0.2500 0.2500 0.7500
Mg3 Mg 0.2500 0.7500 0.2500
Mg4 Mg 0.2500 0.7500 0.7500
Mg5 Mg 0.7500 0.2500 0.2500
Mg6 Mg 0.7500 0.2500 0.7500
Mg7 Mg 0.7500 0.7500 0.2500
Mg8 Mg 0.7500 0.7500 0.7500
# VASP energy in eV/atom: -24.438

***

# 3
# Pm2MgSi (meta-GGA SCAN, single point on PBEsol structure)
data_Pm2MgSi
_chemical_formula_sum 'Pm8 Mg4 Si4'
_space_group_name_H-M_alt 'P 1'
_space_group_IT_number 1
_cell_length_a 7.2633
_cell_length_b 7.2633
_cell_length_c 7.2633
_cell_angle_alpha 90.00
_cell_angle_beta 90.00
_cell_angle_gamma 90.00
loop_
_space_group_symop_operation_xyz
'x,y,z'
loop_
_atom_site_label
_atom_site_type_symbol
_atom_site_fract_x
_atom_site_fract_y
_atom_site_fract_z
Pm1 Pm 0.2500 0.2500 0.2500
Pm2 Pm 0.2500 0.2500 0.7500
Pm3 Pm 0.2500 0.7500 0.2500
Pm4 Pm 0.2500 0.7500 0.7500
Pm5 Pm 0.7500 0.2500 0.2500
Pm6 Pm 0.7500 0.2500 0.7500
Pm7 Pm 0.7500 0.7500 0.2500
Pm8 Pm 0.7500 0.7500 0.7500
Mg1 Mg 0.0000 0.0000 0.0000
Mg2 Mg 0.0000 0.5000 0.5000
Mg3 Mg 0.5000 0.0000 0.5000
Mg4 Mg 0.5000 0.5000 0.0000
Si1 Si 0.0000 0.0000 0.5000
Si2 Si 0.0000 0.5000 0.0000
Si3 Si 0.5000 0.0000 0.0000
Si4 Si 0.5000 0.5000 0.5000
# VASP energy in eV/atom: -26.040

***

# 4
# PmSmMg2 (meta-GGA SCAN, single point on PBEsol structure)
data_PmSmMg2
_chemical_formula_sum 'Pm4 Sm4 Mg8'
_space_group_name_H-M_alt 'P 1'
_space_group_IT_number 1
_cell_length_a 7.6035
_cell_length_b 7.6035
_cell_length_c 7.6035
_cell_angle_alpha 90.00
_cell_angle_beta 90.00
_cell_angle_gamma 90.00
loop_
_space_group_symop_operation_xyz
'x,y,z'
loop_
_atom_site_label
_atom_site_type_symbol
_atom_site_fract_x
_atom_site_fract_y
_atom_site_fract_z
Pm1 Pm 0.0000 0.0000 0.0000
Pm2 Pm 0.0000 0.5000 0.5000
Pm3 Pm 0.5000 0.0000 0.5000
Pm4 Pm 0.5000 0.5000 0.0000
Sm1 Sm 0.0000 0.0000 0.5000
Sm2 Sm 0.0000 0.5000 0.0000
Sm3 Sm 0.5000 0.0000 0.0000
Sm4 Sm 0.5000 0.5000 0.5000
Mg1 Mg 0.2500 0.2500 0.2500
Mg2 Mg 0.2500 0.2500 0.7500
Mg3 Mg 0.2500 0.7500 0.2500
Mg4 Mg 0.2500 0.7500 0.7500
Mg5 Mg 0.7500 0.2500 0.2500
Mg6 Mg 0.7500 0.2500 0.7500
Mg7 Mg 0.7500 0.7500 0.2500
Mg8 Mg 0.7500 0.7500 0.7500
# VASP energy in eV/atom: -24.707